1.
{
  "formula": "Cu3SnAs3",
  "functional": "PBE-GGA",
  "state": "optimized geometry",
  "cell": [[-4.9203, -4.4736, 0.6191], [1.8792, -2.8606, -5.7351], [4.1067, -4.0509, 3.3661]],
  "species": ["As", "As", "As", "As", "As", "As", "Cu", "Cu", "Cu", "Cu", "Cu", "Cu", "Sn", "Sn"],
  "fractional_positions": [[0.0000, 0.5000, 0.7500], [0.5000, 0.2500, 0.0000], [0.2500, 0.0000, 0.5000], [0.0000, 0.5000, 0.2500], [0.7500, 0.0000, 0.5000], [0.5000, 0.7500, 0.0000], [0.2500, 0.5000, 0.0000], [0.5000, 0.0000, 0.2500], [0.5000, 0.0000, 0.7500], [0.7500, 0.5000, 0.0000], [0.0000, 0.7500, 0.5000], [0.0000, 0.2500, 0.5000], [0.0000, 0.0000, 0.0000], [0.5000, 0.5000, 0.5000]],
  "e_form_ev_per_atom": 0.30,
  "m_tot_mub_per_atom": 0.000,
  "total_energy_ev_per_atom": -4.02
}


2.
{
  "formula": "Ca2Ga3Ni4",
  "functional": "PBE-GGA",
  "state": "optimized geometry",
  "cell": [[5.4479, 0.0000, 0.0000], [0.0000, 7.1201, 0.0000], [-2.7239, 0.0000, 7.4593]],
  "species": ["Ga", "Ga", "Ga", "Ga", "Ga", "Ga", "Ca", "Ca", "Ca", "Ca", "Ni", "Ni", "Ni", "Ni", "Ni", "Ni", "Ni", "Ni"],
  "fractional_positions": [[0.0000, 0.0000, 0.0000], [0.5154, 0.7500, 0.5307], [0.9846, 0.2500, 0.4693], [0.4846, 0.2500, 0.4693], [0.0154, 0.7500, 0.5307], [0.5000, 0.5000, 0.0000], [0.3963, 0.0884, 0.7926], [0.8963, 0.4116, 0.7926], [0.6037, 0.9116, 0.2074], [0.1037, 0.5884, 0.2074], [0.8210, 0.2500, 0.1421], [0.6746, 0.5069, 0.3492], [0.1790, 0.7500, 0.8579], [0.6790, 0.7500, 0.8579], [0.1746, 0.9931, 0.3492], [0.8254, 0.0069, 0.6508], [0.3254, 0.4931, 0.6508], [0.3210, 0.2500, 0.1421]],
  "e_form_ev_per_atom": -0.39,
  "m_tot_mub_per_atom": 0.000,
  "total_energy_ev_per_atom": -4.41
}


3.
{
  "formula": "Cd4Ni",
  "functional": "PBE-GGA",
  "state": "optimized geometry",
  "cell": [[-0.4565, 0.7943, -2.9290], [-2.0963, -5.4653, 0.4524], [-4.8708, 1.6709, 2.8200]],
  "species": ["Cd", "Cd", "Cd", "Cd", "Ni"],
  "fractional_positions": [[0.5662, 0.7957, 0.3367], [0.2295, 0.6633, 0.7957], [0.7705, 0.3367, 0.2043], [0.4338, 0.2043, 0.6633], [0.0000, 0.0000, 0.0000]],
  "e_form_ev_per_atom": 0.03,
  "m_tot_mub_per_atom": 0.000,
  "total_energy_ev_per_atom": -1.86
}


4.
{
  "formula": "Rb3Sc2MnS6",
  "functional": "PBE-GGA",
  "state": "optimized geometry",
  "cell": [[6.5768, 0.1264, -0.0265], [-3.1773, 5.7597, -0.0265], [-1.1648, -2.0169, 7.5808]],
  "species": ["Rb", "Rb", "Rb", "Sc", "Sc", "S", "S", "S", "S", "S", "S", "Mn"],
  "fractional_positions": [[0.1712, 0.8288, 0.5000], [0.8288, 0.1712, 0.5000], [0.5000, 0.5000, 0.5000], [0.6626, 0.3374, 0.0000], [0.3374, 0.6626, 0.0000], [0.9445, 0.6291, 0.8271], [0.6291, 0.9445, 0.8271], [0.3709, 0.0555, 0.1729], [0.2794, 0.2794, 0.8061], [0.7206, 0.7206, 0.1939], [0.0555, 0.3709, 0.1729], [0.0000, 0.0000, 0.0000]],
  "raw_formation_energy_mev_per_atom": -1371,
  "m_tot_mub_per_atom": 0.333,
  "total_energy_ev_per_atom": -5.50
}